Entry from the Alexandria database: crystalline SbIr at its relaxed geometry (PBE).

## Properties
Spin magnetization, μB/atom: 0.00
Formation energy (no corrections), eV per atom: -0.035

Geometry as POSCAR:
```
SbIr
1.0
1.8188 -5.3146 0.0000
1.8188 5.3146 0.0000
0.0000 0.0000 3.9417
Sb Ir
2 2
Cartesian
1.8188 3.7241 2.9563
1.8188 -3.7241 0.9854
1.8188 0.9970 2.9563
1.8188 -0.9970 0.9854
```